(1)
SrPmTm4S8: relaxed, PBE-GGA.

Output
The density of states at the Fermi level comes out at 3.59 states/eV/cell. As for the uncorrected formation energy: -1.975 eV/atom.

Cell and atoms, written as CIF:
```
data_SrPmTm4S8
_symmetry_space_group_name_H-M 'P 1'
_symmetry_Int_Tables_number 1
_cell_length_a 8.166
_cell_length_b 8.166
_cell_length_c 8.166
_cell_angle_alpha 59.28
_cell_angle_beta 59.28
_cell_angle_gamma 59.28
loop_
_symmetry_equiv_pos_as_xyz
'x,y,z'
loop_
_atom_site_label
_atom_site_type_symbol
_atom_site_fract_x
_atom_site_fract_y
_atom_site_fract_z
Sr1 Sr 0.000 0.000 0.000
Pm1 Pm 0.371 0.371 0.371
Tm1 Tm 0.371 0.371 0.879
Tm2 Tm 0.371 0.879 0.371
Tm3 Tm 0.748 0.748 0.748
Tm4 Tm 0.879 0.371 0.371
S1 S 0.131 0.131 0.581
S2 S 0.131 0.581 0.131
S3 S 0.139 0.139 0.139
S4 S 0.142 0.622 0.622
S5 S 0.581 0.131 0.131
S6 S 0.616 0.616 0.616
S7 S 0.622 0.142 0.622
S8 S 0.622 0.622 0.142
```



(2)
Co2MoRh: relaxed, PBE-GGA.

Output
The density of states at the Fermi level comes out at 5.91 states/eV/cell. The formation energy from the elements comes out at 0.0929 eV/atom.

Cell and atoms, written as CIF:
```
data_Co2MoRh
_symmetry_space_group_name_H-M 'P 1'
_symmetry_Int_Tables_number 1
_cell_length_a 2.666
_cell_length_b 2.666
_cell_length_c 7.283
_cell_angle_alpha 90.00
_cell_angle_beta 90.00
_cell_angle_gamma 90.00
loop_
_symmetry_equiv_pos_as_xyz
'x,y,z'
loop_
_atom_site_label
_atom_site_type_symbol
_atom_site_fract_x
_atom_site_fract_y
_atom_site_fract_z
Co1 Co 0.000 0.000 0.245
Co2 Co 0.000 0.000 0.755
Mo1 Mo 0.500 0.500 0.500
Rh1 Rh 0.500 0.500 0.000
```



(3)
CaHgIN2: relaxed, PBE-GGA.

Output
The density of states at the Fermi level comes out at 4.46 states/eV/cell. As for the uncorrected formation energy: 1.364 eV/atom.

Cell and atoms, written as CIF:
```
data_CaHgIN2
_symmetry_space_group_name_H-M 'P 1'
_symmetry_Int_Tables_number 1
_cell_length_a 4.334
_cell_length_b 4.334
_cell_length_c 5.637
_cell_angle_alpha 90.00
_cell_angle_beta 90.00
_cell_angle_gamma 90.00
loop_
_symmetry_equiv_pos_as_xyz
'x,y,z'
loop_
_atom_site_label
_atom_site_type_symbol
_atom_site_fract_x
_atom_site_fract_y
_atom_site_fract_z
Ca1 Ca 0.000 0.000 0.000
Hg1 Hg 0.500 0.500 0.000
I1 I 0.500 0.500 0.500
N1 N 0.000 0.500 0.500
N2 N 0.500 0.000 0.500
```



(4)
InNiRh2: relaxed, PBE-GGA.

Output
The density of states at the Fermi level comes out at 24.18 states/eV/cell. The formation energy from the elements comes out at 0.2672 eV/atom.

Cell and atoms, written as CIF:
```
data_InNiRh2
_symmetry_space_group_name_H-M 'P 1'
_symmetry_Int_Tables_number 1
_cell_length_a 3.843
_cell_length_b 3.843
_cell_length_c 17.967
_cell_angle_alpha 90.00
_cell_angle_beta 90.00
_cell_angle_gamma 90.00
loop_
_symmetry_equiv_pos_as_xyz
'x,y,z'
loop_
_atom_site_label
_atom_site_type_symbol
_atom_site_fract_x
_atom_site_fract_y
_atom_site_fract_z
In1 In 0.000 0.000 0.000
In2 In 0.000 0.500 0.250
In3 In 0.500 0.000 0.750
In4 In 0.500 0.500 0.500
Ni1 Ni 0.000 0.000 0.500
Ni2 Ni 0.000 0.500 0.750
Ni3 Ni 0.500 0.000 0.250
Ni4 Ni 0.500 0.500 0.000
Rh1 Rh 0.210 0.250 0.625
Rh2 Rh 0.250 0.710 0.875
Rh3 Rh 0.250 0.790 0.375
Rh4 Rh 0.290 0.250 0.125
Rh5 Rh 0.710 0.750 0.125
Rh6 Rh 0.750 0.210 0.375
Rh7 Rh 0.750 0.290 0.875
Rh8 Rh 0.790 0.750 0.625
```



(5)
PmNd2Al4: relaxed, PBE-GGA.

Output
The density of states at the Fermi level comes out at 10.71 states/eV/cell. The formation energy from the elements comes out at -0.4048 eV/atom.

Cell and atoms, written as CIF:
```
data_PmNd2Al4
_symmetry_space_group_name_H-M 'P 1'
_symmetry_Int_Tables_number 1
_cell_length_a 3.747
_cell_length_b 4.576
_cell_length_c 20.298
_cell_angle_alpha 90.00
_cell_angle_beta 90.00
_cell_angle_gamma 90.00
loop_
_symmetry_equiv_pos_as_xyz
'x,y,z'
loop_
_atom_site_label
_atom_site_type_symbol
_atom_site_fract_x
_atom_site_fract_y
_atom_site_fract_z
Pm1 Pm 0.000 0.000 0.000
Pm2 Pm 0.500 0.500 0.500
Nd1 Nd 0.000 0.500 0.193
Nd2 Nd 0.000 0.500 0.807
Nd3 Nd 0.500 0.000 0.307
Nd4 Nd 0.500 0.000 0.693
Al1 Al 0.000 0.000 0.435
Al2 Al 0.000 0.000 0.565
Al3 Al 0.000 0.500 0.364
Al4 Al 0.000 0.500 0.636
Al5 Al 0.500 0.000 0.136
Al6 Al 0.500 0.000 0.864
Al7 Al 0.500 0.500 0.065
Al8 Al 0.500 0.500 0.935
```



(6)
Ac12La5Pr2: relaxed, PBE-GGA.

Output
The density of states at the Fermi level comes out at 30.07 states/eV/cell. The formation energy from the elements comes out at 0.0933 eV/atom.

Cell and atoms, written as CIF:
```
data_Ac12La5Pr2
_symmetry_space_group_name_H-M 'P 1'
_symmetry_Int_Tables_number 1
_cell_length_a 11.573
_cell_length_b 11.573
_cell_length_c 6.754
_cell_angle_alpha 101.12
_cell_angle_beta 101.12
_cell_angle_gamma 66.14
loop_
_symmetry_equiv_pos_as_xyz
'x,y,z'
loop_
_atom_site_label
_atom_site_type_symbol
_atom_site_fract_x
_atom_site_fract_y
_atom_site_fract_z
Ac1 Ac 0.043 0.563 0.795
Ac2 Ac 0.058 0.058 0.273
Ac3 Ac 0.146 0.650 0.372
Ac4 Ac 0.350 0.854 0.628
Ac5 Ac 0.388 0.388 0.998
Ac6 Ac 0.437 0.957 0.205
Ac7 Ac 0.563 0.043 0.795
Ac8 Ac 0.612 0.612 0.002
Ac9 Ac 0.650 0.146 0.372
Ac10 Ac 0.854 0.350 0.628
Ac11 Ac 0.942 0.942 0.727
Ac12 Ac 0.957 0.437 0.205
La1 La 0.186 0.186 0.858
La2 La 0.291 0.291 0.445
La3 La 0.500 0.500 0.500
La4 La 0.709 0.709 0.555
La5 La 0.814 0.814 0.142
Pr1 Pr 0.264 0.736 0.000
Pr2 Pr 0.736 0.264 0.000
```



(7)
LaTb5PrNd2: relaxed, PBE-GGA.

Output
The density of states at the Fermi level comes out at 20.32 states/eV/cell. The formation energy from the elements comes out at 0.2359 eV/atom.

Cell and atoms, written as CIF:
```
data_LaTb5PrNd2
_symmetry_space_group_name_H-M 'P 1'
_symmetry_Int_Tables_number 1
_cell_length_a 10.045
_cell_length_b 10.045
_cell_length_c 10.045
_cell_angle_alpha 128.07
_cell_angle_beta 128.07
_cell_angle_gamma 76.51
loop_
_symmetry_equiv_pos_as_xyz
'x,y,z'
loop_
_atom_site_label
_atom_site_type_symbol
_atom_site_fract_x
_atom_site_fract_y
_atom_site_fract_z
La1 La 0.250 0.750 0.500
La2 La 0.750 0.250 0.500
Tb1 Tb 0.000 0.000 0.000
Tb2 Tb 0.070 0.570 0.913
Tb3 Tb 0.157 0.070 0.500
Tb4 Tb 0.343 0.843 0.913
Tb5 Tb 0.430 0.343 0.500
Tb6 Tb 0.500 0.500 0.000
Tb7 Tb 0.570 0.657 0.500
Tb8 Tb 0.657 0.157 0.087
Tb9 Tb 0.843 0.930 0.500
Tb10 Tb 0.930 0.430 0.087
Pr1 Pr 0.250 0.250 0.000
Pr2 Pr 0.750 0.750 0.000
Nd1 Nd 0.118 0.382 0.500
Nd2 Nd 0.382 0.882 0.263
Nd3 Nd 0.618 0.118 0.737
Nd4 Nd 0.882 0.618 0.500
```



(8)
TbMgSnRh: relaxed, PBE-GGA.

Output
The density of states at the Fermi level comes out at 1.61 states/eV/cell. The formation energy from the elements comes out at -0.5609 eV/atom.

Cell and atoms, written as CIF:
```
data_TbMgSnRh
_symmetry_space_group_name_H-M 'P 1'
_symmetry_Int_Tables_number 1
_cell_length_a 6.816
_cell_length_b 6.816
_cell_length_c 6.816
_cell_angle_alpha 90.00
_cell_angle_beta 90.00
_cell_angle_gamma 90.00
loop_
_symmetry_equiv_pos_as_xyz
'x,y,z'
loop_
_atom_site_label
_atom_site_type_symbol
_atom_site_fract_x
_atom_site_fract_y
_atom_site_fract_z
Tb1 Tb 0.000 0.000 0.000
Tb2 Tb 0.000 0.500 0.500
Tb3 Tb 0.500 0.000 0.500
Tb4 Tb 0.500 0.500 0.000
Mg1 Mg 0.250 0.250 0.250
Mg2 Mg 0.250 0.750 0.750
Mg3 Mg 0.750 0.250 0.750
Mg4 Mg 0.750 0.750 0.250
Sn1 Sn 0.000 0.000 0.500
Sn2 Sn 0.000 0.500 0.000
Sn3 Sn 0.500 0.000 0.000
Sn4 Sn 0.500 0.500 0.500
Rh1 Rh 0.250 0.250 0.750
Rh2 Rh 0.250 0.750 0.250
Rh3 Rh 0.750 0.250 0.250
Rh4 Rh 0.750 0.750 0.750
```



(9)
AsSeCl: relaxed, PBE-GGA.

Output
The density of states at the Fermi level comes out at 8.73 states/eV/cell. As for the uncorrected formation energy: -0.008 eV/atom.

Cell and atoms, written as CIF:
```
data_AsSeCl
_symmetry_space_group_name_H-M 'P 1'
_symmetry_Int_Tables_number 1
_cell_length_a 3.521
_cell_length_b 9.748
_cell_length_c 13.824
_cell_angle_alpha 90.00
_cell_angle_beta 90.00
_cell_angle_gamma 90.00
loop_
_symmetry_equiv_pos_as_xyz
'x,y,z'
loop_
_atom_site_label
_atom_site_type_symbol
_atom_site_fract_x
_atom_site_fract_y
_atom_site_fract_z
As1 As 0.000 0.000 0.000
As2 As 0.000 0.500 0.500
As3 As 0.500 0.000 0.500
As4 As 0.500 0.500 0.000
Se1 Se 0.000 0.000 0.378
Se2 Se 0.000 0.500 0.878
Se3 Se 0.500 0.000 0.878
Se4 Se 0.500 0.500 0.378
Cl1 Cl 0.000 0.000 0.644
Cl2 Cl 0.000 0.500 0.144
Cl3 Cl 0.500 0.000 0.144
Cl4 Cl 0.500 0.500 0.644
```



(10)
Ti2BH: relaxed, PBE-GGA.

Output
The density of states at the Fermi level comes out at 5.86 states/eV/cell. The calculation puts the raw total energy at -25.196 eV per formula unit.

Cell and atoms, written as CIF:
```
data_Ti2BH
_symmetry_space_group_name_H-M 'P 1'
_symmetry_Int_Tables_number 1
_cell_length_a 4.316
_cell_length_b 4.316
_cell_length_c 10.677
_cell_angle_alpha 90.00
_cell_angle_beta 90.00
_cell_angle_gamma 90.00
loop_
_symmetry_equiv_pos_as_xyz
'x,y,z'
loop_
_atom_site_label
_atom_site_type_symbol
_atom_site_fract_x
_atom_site_fract_y
_atom_site_fract_z
Ti1 Ti 0.230 0.250 0.125
Ti2 Ti 0.250 0.730 0.375
Ti3 Ti 0.250 0.770 0.875
Ti4 Ti 0.270 0.250 0.625
Ti5 Ti 0.730 0.750 0.625
Ti6 Ti 0.750 0.230 0.875
Ti7 Ti 0.750 0.270 0.375
Ti8 Ti 0.770 0.750 0.125
B1 B 0.000 0.000 0.500
B2 B 0.000 0.500 0.750
B3 B 0.500 0.000 0.250
B4 B 0.500 0.500 0.000
H1 H 0.000 0.000 0.000
H2 H 0.000 0.500 0.250
H3 H 0.500 0.000 0.750
H4 H 0.500 0.500 0.500
```



(11)
TeIr2Rh: relaxed, PBE-GGA.

Output
The density of states at the Fermi level comes out at 14.53 states/eV/cell. As for the uncorrected formation energy: 0.475 eV/atom.

Cell and atoms, written as CIF:
```
data_TeIr2Rh
_symmetry_space_group_name_H-M 'P 1'
_symmetry_Int_Tables_number 1
_cell_length_a 2.950
_cell_length_b 2.950
_cell_length_c 26.503
_cell_angle_alpha 90.00
_cell_angle_beta 90.00
_cell_angle_gamma 120.00
loop_
_symmetry_equiv_pos_as_xyz
'x,y,z'
loop_
_atom_site_label
_atom_site_type_symbol
_atom_site_fract_x
_atom_site_fract_y
_atom_site_fract_z
Te1 Te 0.000 0.000 0.000
Te2 Te 0.333 0.667 0.667
Te3 Te 0.667 0.333 0.333
Ir1 Ir 0.000 0.000 0.502
Ir2 Ir 0.000 0.000 0.756
Ir3 Ir 0.333 0.667 0.168
Ir4 Ir 0.333 0.667 0.422
Ir5 Ir 0.667 0.333 0.089
Ir6 Ir 0.667 0.333 0.835
Rh1 Rh 0.000 0.000 0.249
Rh2 Rh 0.333 0.667 0.916
Rh3 Rh 0.667 0.333 0.582
```



(12)
CdIn4Cu: relaxed, PBE-GGA.

Output
The density of states at the Fermi level comes out at 5.03 states/eV/cell. The formation energy from the elements comes out at 0.0240 eV/atom.

Cell and atoms, written as CIF:
```
data_CdIn4Cu
_symmetry_space_group_name_H-M 'P 1'
_symmetry_Int_Tables_number 1
_cell_length_a 7.023
_cell_length_b 7.023
_cell_length_c 5.689
_cell_angle_alpha 90.00
_cell_angle_beta 90.00
_cell_angle_gamma 90.00
loop_
_symmetry_equiv_pos_as_xyz
'x,y,z'
loop_
_atom_site_label
_atom_site_type_symbol
_atom_site_fract_x
_atom_site_fract_y
_atom_site_fract_z
Cd1 Cd 0.000 0.000 0.250
Cd2 Cd 0.000 0.000 0.750
In1 In 0.176 0.368 0.000
In2 In 0.176 0.632 0.500
In3 In 0.368 0.176 0.500
In4 In 0.368 0.824 0.000
In5 In 0.632 0.176 0.000
In6 In 0.632 0.824 0.500
In7 In 0.824 0.368 0.500
In8 In 0.824 0.632 0.000
Cu1 Cu 0.500 0.500 0.250
Cu2 Cu 0.500 0.500 0.750
```



Number 1: M_tot 0.00 μB per formula unit, calculated density 5.11 g/cm³. Number 2: M_tot 3.06 μB per formula unit, calculated density 10.16 g/cm³. Number 3: M_tot 0.00 μB per formula unit, calculated density 6.20 g/cm³. Number 4: M_tot 0.00 μB per formula unit, calculated density 9.50 g/cm³. Number 5: M_tot 0.55 μB per formula unit, calculated density 5.17 g/cm³. Number 6: M_tot 0.00 μB per formula unit, calculated density 7.63 g/cm³. Number 7: M_tot 0.00 μB per formula unit, calculated density 7.42 g/cm³. Number 8: M_tot 0.00 μB per formula unit, calculated density 8.49 g/cm³. Number 9: M_tot 0.40 μB per formula unit, calculated density 2.65 g/cm³. Number 10: M_tot 0.00 μB per formula unit, calculated density 3.59 g/cm³. Number 11: M_tot 0.00 μB per formula unit, calculated density 15.33 g/cm³. Number 12: M_tot 0.00 μB per formula unit, calculated density 7.52 g/cm³.